Entry 1:
The following is a DFT calculation (GGA-PBE) of a relaxed structure of Ce3Th2Si2.

Cell: 5.9231 5.9231 7.8183 Å, 104.13 104.13 43.38°
Fractional coordinates of all 7 atoms:
Ce  0.0000  0.0000  0.0000
Ce  0.1163  0.1163  0.4646
Ce  0.8837  0.8837  0.5354
Th  0.3460  0.3460  0.1814
Th  0.6540  0.6540  0.8186
Si  0.3474  0.3474  0.7836
Si  0.6526  0.6526  0.2164

Output
The value obtained for the formation energy without anion corrections is -358 meV/atom. Its space-group type is C2/m, No. 12. The calculation puts the total magnetization at 0.3 μB/cell. For the density of states at the Fermi level, the calculation gives 1.942 states/eV per atom.

Entry 2:
The following is a DFT calculation (GGA-PBE) of a relaxed structure of MnCoAgCl6.

Cell: 6.2234 6.2234 11.7706 Å, 90.00 90.00 120.00°
Fractional coordinates of all 18 atoms:
Mn  0.3333  0.6667  0.2500
Mn  0.6667  0.3333  0.7500
Co  0.3333  0.6667  0.7500
Co  0.6667  0.3333  0.2500
Ag  0.0000  0.0000  0.0000
Ag  0.0000  0.0000  0.5000
Cl  0.0284  0.3751  0.6378
Cl  0.0284  0.6533  0.8622
Cl  0.3467  0.3751  0.8622
Cl  0.3467  0.9716  0.6378
Cl  0.3751  0.0284  0.1378
Cl  0.3751  0.3467  0.3622
Cl  0.6249  0.6533  0.6378
Cl  0.6249  0.9716  0.8622
Cl  0.6533  0.0284  0.3622
Cl  0.6533  0.6249  0.1378
Cl  0.9716  0.3467  0.1378
Cl  0.9716  0.6249  0.3622

Output
The value obtained for the formation energy without anion corrections is -690 meV/atom. Its space-group type is P-31c, No. 163. The calculation puts the total magnetization at 10.1 μB/cell. For the density of states at the Fermi level, the calculation gives 0.022 states/eV per atom.

Entry 3:
The following is a DFT calculation (GGA-PBE) of a relaxed structure of Pm3Ge4Pd2.

Cell: 5.8877 5.8877 8.4790 Å, 106.27 106.27 43.57°
Fractional coordinates of all 9 atoms:
Pm  0.0000  0.0000  0.0000
Pm  0.3709  0.3709  0.3053
Pm  0.6291  0.6291  0.6947
Ge  0.0813  0.0813  0.4036
Ge  0.2900  0.2900  0.9344
Ge  0.7100  0.7100  0.0656
Ge  0.9187  0.9187  0.5964
Pd  0.3168  0.3168  0.6453
Pd  0.6832  0.6832  0.3547

Output
The value obtained for the formation energy is -864 meV per atom. Its space-group type is C2/m, No. 12. The calculation puts the total magnetization at 0.0 μB/cell. For the density of states at the Fermi level, the calculation gives 0.503 states/eV per atom.

Entry 4:
The following is a DFT calculation (GGA-PBE) of a relaxed structure of BeFe.

Cell: 3.0560 3.0560 3.0560 Å, 60.00 60.00 60.00°
Fractional coordinates of all 2 atoms:
Be  0.0000  0.0000  0.0000
Fe  0.5000  0.5000  0.5000

Output
The value obtained for the formation energy is 319 meV per atom. Its space-group type is Fm-3m, No. 225. The calculation puts the total magnetization at 1.9 μB/cell. For the density of states at the Fermi level, the calculation gives 0.377 states/eV per atom.